SrMnPbO4 | PBE with a Hubbard U | optimized geometry

- calculated density (Mg/m³) = 5.62
- E_tot (eV per atom) = -6.2903

Structure (POSCAR):
```
SrMnPbO4
1.0
-4.733 -3.560 -1.793
-0.434 -2.234 5.578
-2.067 6.388 2.397
Sr Mn Pb O
2 2 2 8
Cartesian
-5.783 1.856 5.173
-1.451 -1.261 1.009
-2.331 -0.782 4.386
-4.903 1.376 1.797
-5.413 -1.349 3.919
-1.821 1.943 2.263
-6.202 0.622 2.837
-1.224 -1.019 5.820
-1.031 -0.028 3.345
-6.010 1.613 0.362
-3.087 -2.293 3.722
-4.147 2.888 2.461
-3.842 0.168 4.648
-3.392 0.426 1.534
```